First-principles (PBE) data for an optimized crystal structure of Cd4Ga, as listed in the Alexandria database.

Output
- E_tot (eV/atom) = -1.266
- M_tot (Bohr magnetons per cell) = 0.0
- relative energy among the computed polymorphs (meV per atom) = 0
- ΔH_f (0 K) (eV/atom) = 0.07
- space group = P2/c, No. 13

abc: 7.2310 6.5999 5.0077
angles: 90.00 100.23 90.00
Atoms (fractional coordinates):
Cd 0.1514 0.1578 0.0084
Cd 0.1514 0.8422 0.5084
Cd 0.2552 0.3888 0.5232
Cd 0.2552 0.6112 0.0232
Cd 0.7448 0.3888 0.9768
Cd 0.7448 0.6112 0.4768
Cd 0.8486 0.1578 0.4916
Cd 0.8486 0.8422 0.9916
Ga 0.5000 0.0727 0.7500
Ga 0.5000 0.9273 0.2500